Below is a geometry-optimized TePd4Se3 structure, with properties calculated at the PBE-GGA level.

Results
ρ = 7484 kg/m3
Electronic total energy = -35.97 eV per formula unit
V = 351 Å³/cell

a b c (Å): 7.7301 6.7426 6.7271
angles (deg): 90.00 90.00 90.00
Atoms (fractional coordinates):
1 Te 0.0000 0.1685 0.0000
2 Te 0.5000 0.8315 0.5000
3 Pd 0.0000 0.1742 0.6094
4 Pd 0.0000 0.8962 0.2688
5 Pd 0.2089 0.3057 0.2663
6 Pd 0.2911 0.6943 0.7663
7 Pd 0.5000 0.1038 0.7688
8 Pd 0.5000 0.8258 0.1094
9 Pd 0.7089 0.6943 0.7663
10 Pd 0.7911 0.3057 0.2663
11 Se 0.0000 0.7974 0.6244
12 Se 0.2141 0.6516 0.1184
13 Se 0.2859 0.3484 0.6184
14 Se 0.5000 0.2026 0.1244
15 Se 0.7141 0.3484 0.6184
16 Se 0.7859 0.6516 0.1184